[1]
DFT (PBE) results for Fe after structural relaxation.

Values from the calculation:
**E above lowest polymorph**: 0.000 eV/atom
**Symmetry**: Im-3m, No. 229
**DOS(E_F)**: 0.747 states/eV per cell
**Formation enthalpy at 0 K**: 0.0 eV/f.u.

Unit cell a=2.4481 b=2.4481 c=2.4481 alpha=109.47 beta=109.47 gamma=109.47
Site moments in Bohr magnetons follow the coordinates.
Positions (direct):
Fe: 0.0000 0.0000 0.0000  2.16


[2]
DFT (PBE) results for Be5VNi4 after structural relaxation.

Values from the calculation:
**Symmetry**: P4/mmm, No. 123
**DOS(E_F)**: 4.674 states/eV per cell
**Formation enthalpy at 0 K**: -3.9 eV/f.u.

Unit cell a=2.6046 b=2.6046 c=13.6818 alpha=90.00 beta=90.00 gamma=90.00
Positions (direct):
Ni: 0.0000 0.0000 0.5954
Be: 0.5000 0.5000 0.5000
Ni: 0.0000 0.0000 0.2141
Be: 0.5000 0.5000 0.8786
Ni: 0.0000 0.0000 0.7859
Be: 0.5000 0.5000 0.6915
Be: 0.5000 0.5000 0.3085
Be: 0.5000 0.5000 0.1214
V: 0.0000 0.0000 0.0000
Ni: 0.0000 0.0000 0.4046


[3]
DFT (PBE) results for Co2AgC2 after structural relaxation.

Values from the calculation:
**E above lowest polymorph**: 0.376 eV/atom
**Symmetry**: P4/mbm, No. 127
**DOS(E_F)**: 8.700 states/eV per cell
**Formation enthalpy at 0 K**: 5.1 eV/f.u.

Unit cell a=6.0329 b=6.0329 c=2.8143 alpha=90.00 beta=90.00 gamma=90.00
Site moments in Bohr magnetons follow the coordinates.
Positions (direct):
C: 0.9071 0.5929 0.0000  0.01
Co: 0.3627 0.1373 0.5000  0.29
C: 0.5929 0.0929 0.0000  0.01
C: 0.4071 0.9071 0.0000  0.01
C: 0.0929 0.4071 0.0000  0.01
Ag: 0.5000 0.5000 0.0000  0.00
Ag: 0.0000 0.0000 0.0000  0.00
Co: 0.8627 0.3627 0.5000  0.28
Co: 0.6373 0.8627 0.5000  0.29
Co: 0.1373 0.6373 0.5000  0.28


[4]
DFT (PBE) results for RbMgP2H after structural relaxation.

Values from the calculation:
**Symmetry**: P4/mmm, No. 123
**Total energy**: -2.0052 eV per atom
**DOS(E_F)**: 3.698 states/eV per cell

Unit cell a=5.7419 b=3.6602 c=5.7419 alpha=90.00 beta=90.00 gamma=90.00
Positions (direct):
P: 0.0000 0.0000 0.5000
Mg: 0.5000 0.5000 0.5000
P: 0.5000 0.0000 0.0000
H: 0.0000 0.5000 0.0000
Rb: 0.0000 0.0000 0.0000


[5]
DFT (PBE) results for NdInSn2 after structural relaxation.

Values from the calculation:
**Symmetry**: P4/mmm, No. 123
**DOS(E_F)**: 1.222 states/eV per cell
**Formation enthalpy at 0 K**: -2.0 eV/f.u.

Unit cell a=4.7993 b=4.7375 c=4.7375 alpha=90.00 beta=90.00 gamma=90.00
Positions (direct):
Sn: 0.0000 0.5000 0.0000
Nd: 0.5000 0.5000 0.5000
In: 0.5000 0.0000 0.0000
Sn: 0.0000 0.0000 0.5000


[6]
DFT (PBE) results for AgP2H after structural relaxation.

Values from the calculation:
**E above lowest polymorph**: 0.000 eV/atom
**Symmetry**: I-42d, No. 122
**DOS(E_F)**: 4.348 states/eV per cell

Unit cell a=4.2162 b=4.2162 c=7.2979 alpha=73.21 beta=73.21 gamma=90.00
Positions (direct):
Ag: 0.0000 0.0000 0.0000
P: 0.4887 0.1250 0.2500
P: 0.8750 0.7387 0.7500
H: 0.5000 0.5000 0.0000
Ag: 0.7500 0.2500 0.5000
P: 0.2613 0.6250 0.2500
P: 0.3750 0.5113 0.7500
H: 0.2500 0.7500 0.5000


Among the records above, which one has the lowest DOS(E_F)?
Fe


Which value of DOS(E_F) does entry 6 give?
4.348 states/eV per cell